Material: LiFe3Au
Method: DFT, PBE-GGA
State: optimized geometry

abc: 4.045 4.045 4.045
angles: 90.00 90.00 90.00
Fractional coordinates of all 5 atoms:
Au1 0.500 0.500 0.500
Fe1 0.000 0.500 0.000
Fe2 0.000 0.000 0.500
Fe3 0.500 0.000 0.000
Li1 0.000 0.000 0.000

Values from the calculation:
- ΔH_f (0 K): 4.3 eV/f.u.
- Crystal system: cubic
- N(E_F): 4.3 states/eV/f.u.
- Offset from the most stable computed form: 0.0 kJ per mole of atoms



Material: TcMoSe2N
Method: DFT, PBE-GGA
State: optimized geometry

abc: 4.618 3.776 4.618
angles: 90.00 90.00 90.00
Fractional coordinates of all 5 atoms:
Mo1 0.500 0.500 0.500
Tc1 0.000 0.500 0.000
Se1 0.000 0.000 0.500
Se2 0.500 0.000 0.000
N1 0.000 0.000 0.000

Values from the calculation:
- Crystal system: tetragonal
- N(E_F): 4.1 states/eV/f.u.
- Offset from the most stable computed form: 24.0 kJ per mole of atoms



Material: BaZn4Cr
Method: DFT, PBE-GGA
State: optimized geometry

abc: 5.548 5.548 5.548
angles: 60.00 60.00 60.00
Fractional coordinates of all 6 atoms:
Ba1 0.750 0.750 0.750
Zn1 0.882 0.373 0.373
Zn2 0.373 0.373 0.882
Zn3 0.373 0.882 0.373
Zn4 0.373 0.373 0.373
Cr1 0.000 0.000 0.000

Values from the calculation:
- ΔH_f (0 K): 0.8 eV/f.u.
- Crystal system: cubic
- N(E_F): 2.6 states/eV/f.u.



Material: SrTa2ZnPb
Method: DFT, PBE-GGA
State: optimized geometry

abc: 5.127 5.320 5.127
angles: 90.00 90.00 90.00
Fractional coordinates of all 5 atoms:
Pb1 0.500 0.500 0.500
Sr1 0.000 0.000 0.000
Zn1 0.000 0.500 0.000
Ta1 0.000 0.000 0.500
Ta2 0.500 0.000 0.000

Values from the calculation:
- ΔH_f (0 K): 11.9 eV/f.u.
- Crystal system: tetragonal
- N(E_F): 8.5 states/eV/f.u.



Material: Gd2ErI
Method: DFT, PBE-GGA
State: optimized geometry

abc: 3.668 3.668 9.466
angles: 90.00 90.00 90.00
Fractional coordinates of all 4 atoms:
I1 0.500 0.500 0.000
Gd1 0.000 0.000 0.754
Gd2 0.000 0.000 0.246
Er1 0.500 0.500 0.500

Values from the calculation:
- Crystal system: tetragonal
- N(E_F): 6.3 states/eV/f.u.
- Offset from the most stable computed form: 3.8 kJ per mole of atoms



Material: La4Te2C
Method: DFT, PBE-GGA
State: optimized geometry

abc: 5.040 5.040 9.101
angles: 73.93 73.93 90.00
Fractional coordinates of all 7 atoms:
C1 0.000 0.000 0.000
Te1 0.641 0.641 0.718
Te2 0.359 0.359 0.282
La1 0.841 0.841 0.318
La2 0.159 0.159 0.682
La3 0.000 0.500 0.000
La4 0.500 0.000 0.000

Values from the calculation:
- Crystal system: tetragonal
- N(E_F): 9.8 states/eV/f.u.
- DFT total energy: -5.867 eV per atom



Material: TiMnNbPt
Method: DFT, PBE-GGA
State: optimized geometry

abc: 4.430 4.430 4.430
angles: 60.00 60.00 60.00
Fractional coordinates of all 4 atoms:
Nb1 0.000 0.000 0.000
Mn1 0.750 0.750 0.750
Pt1 0.500 0.500 0.500
Ti1 0.250 0.250 0.250

Values from the calculation:
- ΔH_f (0 K): -1.8 eV/f.u.
- Crystal system: cubic
- N(E_F): 0.8 states/eV/f.u.



Material: TiCrAsAu2
Method: DFT, PBE-GGA
State: optimized geometry

abc: 4.901 4.213 4.901
angles: 90.00 90.00 90.00
Fractional coordinates of all 5 atoms:
Cr1 0.000 0.000 0.000
As1 0.500 0.500 0.500
Au1 0.000 0.000 0.500
Au2 0.500 0.000 0.000
Ti1 0.000 0.500 0.000

Values from the calculation:
- ΔH_f (0 K): 4.0 eV/f.u.
- Crystal system: tetragonal
- N(E_F): 3.9 states/eV/f.u.



Material: BeSn2TeP
Method: DFT, PBE-GGA
State: optimized geometry

abc: 5.202 5.341 5.202
angles: 90.00 90.00 90.00
Fractional coordinates of all 5 atoms:
P1 0.000 0.000 0.000
Te1 0.000 0.500 0.000
Sn1 0.000 0.000 0.500
Sn2 0.500 0.000 0.000
Be1 0.500 0.500 0.500

Values from the calculation:
- Crystal system: tetragonal
- N(E_F): 3.1 states/eV/f.u.
- DFT total energy: -3.189 eV per atom



Material: TbNd8Sc5
Method: DFT, PBE-GGA
State: optimized geometry

abc: 8.358 8.358 8.358
angles: 111.32 105.83 111.32
Fractional coordinates of all 14 atoms:
Tb1 0.250 0.500 0.750
Nd1 0.155 0.730 0.076
Nd2 0.924 0.079 0.654
Nd3 0.736 0.260 0.340
Nd4 0.660 0.396 0.920
Nd5 0.524 0.604 0.264
Nd6 0.575 0.921 0.845
Nd7 0.346 0.270 0.425
Nd8 0.080 0.740 0.476
Sc1 0.036 0.304 0.126
Sc2 0.874 0.910 0.178
Sc3 0.822 0.696 0.732
Sc4 0.500 0.000 0.500
Sc5 0.268 0.090 0.964

Values from the calculation:
- ΔH_f (0 K): 3.6 eV/f.u.
- Crystal system: tetragonal
- N(E_F): 22.3 states/eV/f.u.



In order of appearance, V = 13.2; 16.1; 20.1; 28.0; 31.8; 30.4; 15.4; 20.2; 28.9; 32.0 A^3/atom.